Entry 1:
Density functional theory data (PBE) for Ce4Ge6Ir7 after structural relaxation.

ΔH_f (0 K) in eV/atom: -0.804

Lattice parameters (Å, degrees): 7.3616 7.3616 7.3616 109.47 109.47 109.47
With the nearest neighbours (Å) after each atom.
Sites, in units of the cell vectors:
Ce 0.5000 0.0000 0.0000  6 Ir 3.01, 6 Ge 3.06
Ce 0.5000 0.5000 0.5000  6 Ir 3.01, 6 Ge 3.06
Ce 0.0000 0.5000 0.0000  6 Ir 3.01, 6 Ge 3.06
Ce 0.0000 0.0000 0.5000  6 Ir 3.01, 6 Ge 3.06
Ge 0.6811 0.0000 0.6811  5 Ir 2.62-2.71
Ge 0.6811 0.6811 0.0000  5 Ir 2.62-2.71
Ge 0.0000 0.3189 0.3189  5 Ir 2.62-2.71
Ge 0.3189 0.0000 0.3189  5 Ir 2.62-2.71
Ge 0.3189 0.3189 0.0000  5 Ir 2.62-2.71
Ge 0.0000 0.6811 0.6811  5 Ir 2.62-2.71
Ir 0.7500 0.5000 0.2500  4 Ge 2.62
Ir 0.2500 0.7500 0.5000  4 Ge 2.62
Ir 0.5000 0.7500 0.2500  4 Ge 2.62
Ir 0.7500 0.2500 0.5000  4 Ge 2.62
Ir 0.2500 0.5000 0.7500  4 Ge 2.62
Ir 0.5000 0.2500 0.7500  4 Ge 2.62
Ir 0.0000 0.0000 0.0000  6 Ge 2.71

***

Entry 2:
Density functional theory data (PBE) for TePd2Au2 after structural relaxation.

Energy relative to the lowest polymorph listed for this composition in meV per atom: 240
Formation energy from raw total energies in eV per atom: 0.204

Lattice parameters (Å, degrees): 3.8887 3.8887 7.1795 74.29 74.29 90.00
With the nearest neighbours (Å) after each atom.
Sites, in units of the cell vectors:
Te 0.0000 0.0000 0.0000  8 Au 3.07
Au 0.3963 0.3963 0.2074  4 Pd 2.75, 1 Au 2.75, 4 Te 3.07
Au 0.6037 0.6037 0.7926  4 Pd 2.75, 1 Au 2.75, 4 Te 3.07
Pd 0.7500 0.2500 0.5000  4 Au 2.75, 4 Pd 2.75
Pd 0.2500 0.7500 0.5000  4 Au 2.75, 4 Pd 2.75

***

Entry 3:
Density functional theory data (PBE) for LiCeGdNi after structural relaxation.

ΔH_f (0 K) in eV/atom: -0.011

Lattice parameters (Å, degrees): 4.9710 4.9710 4.9710 60.00 60.00 60.00
With the nearest neighbours (Å) after each atom.
Sites, in units of the cell vectors:
Ni 0.2500 0.2500 0.2500  4 Gd 3.04, 4 Ce 3.04
Gd 0.5000 0.5000 0.5000  4 Li 3.04, 4 Ni 3.04
Ce 0.0000 0.0000 0.0000  4 Li 3.04, 4 Ni 3.04
Li 0.7500 0.7500 0.7500  4 Ce 3.04, 4 Gd 3.04

***

Entry 4:
Density functional theory data (PBE) for Sr2BiN after structural relaxation.

Energy relative to the lowest polymorph listed for this composition in meV per atom: 611
Formation energy from raw total energies in eV per atom: 0.122

Lattice parameters (Å, degrees): 5.4906 5.4906 5.4906 60.00 60.00 60.00
With the nearest neighbours (Å) after each atom.
Sites, in units of the cell vectors:
Sr 0.2500 0.2500 0.2500  4 Bi 3.36, 4 N 3.36
Sr 0.7500 0.7500 0.7500  4 Bi 3.36, 4 N 3.36
Bi 0.5000 0.5000 0.5000  8 Sr 3.36
N 0.0000 0.0000 0.0000  8 Sr 3.36

***

Entry 5:
Density functional theory data (PBE) for MnCl4 after structural relaxation.

Formation energy from raw total energies in eV per atom: -0.727

Lattice parameters (Å, degrees): 7.6205 12.2796 6.4581 112.44 53.84 130.31
With the nearest neighbours (Å) after each atom.
Sites, in units of the cell vectors:
Mn 0.1130 0.2500 0.7739  4 Cl 2.12
Mn 0.8870 0.7500 0.2261  4 Cl 2.12
Cl 0.4995 0.2988 0.5617  1 Mn 2.12
Cl 0.9387 0.2012 0.5617  1 Mn 2.12
Cl 0.1902 0.4402 0.9927  1 Mn 2.12
Cl 0.8171 0.0598 0.9927  1 Mn 2.12
Cl 0.8098 0.5598 0.0073  1 Mn 2.12
Cl 0.1829 0.9402 0.0073  1 Mn 2.12
Cl 0.0613 0.7988 0.4383  1 Mn 2.12
Cl 0.5005 0.7012 0.4383  1 Mn 2.12

***

Entry 6:
Density functional theory data (PBE) for LiLu2Tc after structural relaxation.

ΔH_f (0 K) in eV/atom: -0.092
Energy relative to the lowest polymorph listed for this composition in meV per atom: 2

Lattice parameters (Å, degrees): 4.8383 4.8383 4.8383 60.00 60.00 60.00
With the nearest neighbours (Å) after each atom.
Sites, in units of the cell vectors:
Lu 0.2500 0.2500 0.2500  4 Li 2.96, 4 Tc 2.96
Lu 0.7500 0.7500 0.7500  4 Tc 2.96, 4 Li 2.96
Tc 0.0000 0.0000 0.0000  8 Lu 2.96
Li 0.5000 0.5000 0.5000  8 Lu 2.96

***

Entry 7:
Density functional theory data (PBE) for NdLuAgAu after structural relaxation.

ΔH_f (0 K) in eV/atom: -0.545

Lattice parameters (Å, degrees): 5.1535 5.1535 5.1535 60.00 60.00 60.00
With the nearest neighbours (Å) after each atom.
Sites, in units of the cell vectors:
Nd 0.5000 0.5000 0.5000  4 Au 3.16, 4 Ag 3.16
Lu 0.0000 0.0000 0.0000  4 Au 3.16, 4 Ag 3.16
Au 0.7500 0.7500 0.7500  4 Lu 3.16, 4 Nd 3.16
Ag 0.2500 0.2500 0.2500  4 Nd 3.16, 4 Lu 3.16

***

Entry 8:
Density functional theory data (PBE) for Cd2SiTc after structural relaxation.

Formation energy from raw total energies in eV per atom: 0.386

Lattice parameters (Å, degrees): 5.3711 2.7923 4.7018 90.42 90.00 90.00
With the nearest neighbours (Å) after each atom.
Sites, in units of the cell vectors:
Cd 0.0000 0.0070 0.9991  6 Cd 2.71-2.79, 2 Si 3.01, 2 Tc 3.01
Cd 0.0000 0.4930 0.5009  6 Cd 2.71-2.79, 2 Si 3.01, 2 Tc 3.01
Si 0.5000 0.2500 0.2500  4 Tc 2.73-2.74, 2 Si 2.79, 4 Cd 3.01
Tc 0.5000 0.7500 0.7500  4 Si 2.73-2.74, 2 Tc 2.79, 4 Cd 3.01

***

Entry 9:
Density functional theory data (PBE) for Ta2MoW after structural relaxation.

ΔH_f (0 K) in eV/atom: 0.395

Lattice parameters (Å, degrees): 3.4367 3.2039 6.7106 103.81 90.00 90.00
With the nearest neighbours (Å) after each atom.
Sites, in units of the cell vectors:
Ta 0.5000 0.4595 0.9190  2 W 2.65, 4 Mo 2.72
Ta 0.5000 0.6962 0.3924  4 W 2.74, 4 Mo 2.90
Mo 0.0000 0.0653 0.1306  8 Ta 2.72-2.90
W 0.0000 0.3045 0.6089  6 Ta 2.65-2.74

***

Entry 10:
Density functional theory data (PBE) for CdPH after structural relaxation.

Energy relative to the lowest polymorph listed for this composition in meV per atom: 16

Lattice parameters (Å, degrees): 7.1434 4.5506 7.2487 90.00 90.00 90.00
With the nearest neighbours (Å) after each atom.
Sites, in units of the cell vectors:
P 0.2324 0.2500 0.3589  1 H 1.43
P 0.2676 0.7500 0.8589  1 H 1.43
P 0.7676 0.7500 0.6411  1 H 1.43
P 0.7324 0.2500 0.1411  1 H 1.43
H 0.9018 0.2500 0.0350  1 P 1.43
H 0.5982 0.7500 0.5350  1 P 1.43
H 0.0982 0.7500 0.9650  1 P 1.43
H 0.4018 0.2500 0.4650  1 P 1.43
Cd 0.8415 0.2500 0.4825  3 P 2.59-2.60, 2 H 2.89
Cd 0.6585 0.7500 0.9825  3 P 2.59-2.60, 2 H 2.89
Cd 0.1585 0.7500 0.5175  3 P 2.59-2.60, 2 H 2.89
Cd 0.3415 0.2500 0.0175  3 P 2.59-2.60, 2 H 2.89

***

Entry 11:
Density functional theory data (PBE) for RbCa2Rh after structural relaxation.

ΔH_f (0 K) in eV/atom: -0.102
Energy relative to the lowest polymorph listed for this composition in meV per atom: 0

Lattice parameters (Å, degrees): 3.6209 3.6209 10.9593 90.00 90.00 90.00
With the nearest neighbours (Å) after each atom.
Sites, in units of the cell vectors:
Ca 0.0000 0.0000 0.8534  4 Rh 3.02, 1 Ca 3.21
Ca 0.0000 0.0000 0.1466  4 Rh 3.02, 1 Ca 3.21
Rh 0.5000 0.5000 0.0000  8 Ca 3.02
Rb 0.5000 0.5000 0.5000  4 Rb 3.62

***

Entry 12:
Density functional theory data (PBE) for Ba2SrTl after structural relaxation.

ΔH_f (0 K) in eV/atom: -0.121
Energy relative to the lowest polymorph listed for this composition in meV per atom: 100

Lattice parameters (Å, degrees): 12.8995 12.8995 12.8995 19.44 19.44 19.44
With the nearest neighbours (Å) after each atom.
Sites, in units of the cell vectors:
Ba 0.0150 0.0150 0.0150  3 Tl 3.61
Ba 0.4850 0.4850 0.4850  3 Tl 3.61
Sr 0.2500 0.2500 0.2500  6 Sr 4.36, 6 Ba 4.50
Tl 0.7500 0.7500 0.7500  6 Ba 3.61